Record 1
Here is a geometry-optimized HfZnSeN2 structure from the Alexandria database. Energies are from GGA-PBE.

calculated volume: 94 Å³/cell
mass density: 6.22 g/cm³
ΔE to the lowest computed polymorph: 0 meV/atom
N(E_F): 2.3 states/eV/f.u.

```
5
Lattice="-3.001 1.698 2.119 -1.080 -3.644 1.390 3.522 0.657 4.461" Properties=species:S:1:pos:R:3 pbc="T T T"
N -0.540 -1.822 0.695
N -1.500 0.849 1.060
Zn -0.279 -0.645 3.985
Se 1.761 0.328 2.230
Hf 0.000 0.000 0.000
```

Record 2
Here is a geometry-optimized HfZnSe2N structure from the Alexandria database. Energies are from GGA-PBE.

calculated volume: 113 Å³/cell
mass density: 6.09 g/cm³
ΔE to the lowest computed polymorph: 0 meV/atom
N(E_F): 3.0 states/eV/f.u.

```
5
Lattice="5.278 0.000 0.000 0.000 5.278 0.000 0.000 0.000 4.068" Properties=species:S:1:pos:R:3 pbc="T T T"
Se 2.639 0.000 0.000
Se 0.000 2.639 0.000
Zn 2.639 2.639 2.034
Hf 0.000 0.000 0.000
N 0.000 0.000 2.034
```

Record 3
Here is a geometry-optimized HfZr2SeN structure from the Alexandria database. Energies are from GGA-PBE.

calculated volume: 104 Å³/cell
mass density: 7.23 g/cm³
E_tot: -7.0518 eV per atom
N(E_F): 7.5 states/eV/f.u.

```
5
Lattice="5.195 0.000 0.000 0.000 3.863 0.000 0.000 0.000 5.195" Properties=species:S:1:pos:R:3 pbc="T T T"
Se 0.000 0.000 0.000
Hf 2.598 1.931 2.598
Zr 0.000 0.000 2.598
Zr 2.598 0.000 0.000
N 0.000 1.931 0.000
```

> Which value of N(E_F) does entry 3 give?

7.5 states/eV/f.u.